A plane-wave DFT calculation with PBE-GGA was carried out for a relaxed structure of ScCoRh3.

The structure belongs to space group Pm-3m (No. 221); the cell edges are 4.466, 4.466 and 4.466 Å and the angles 90.00°, 90.00° and 90.00°. The inequivalent atoms are Sc at (0.000, 0.000, 0.000), Co at (0.500, 0.500, 0.500) and Rh at (0.000, 0.500, 0.500).

As for the energy: -6.7529 eV/atom. Its volume is 17.82 A^3/atom. The formation energy is 345 meV/atom. The value obtained for the relative energy among the computed polymorphs is 0 meV per atom.